No. 1
Material: Sm2Cd6Ag3
Method: DFT, PBE-GGA
State: optimized geometry

Unit cell a=4.662 b=8.084 c=8.084 alpha=120.00 beta=90.00 gamma=90.00
Fractional positions:
Ag: 0.500 0.592 0.000
Ag: 0.500 0.000 0.592
Ag: 0.500 0.408 0.408
Cd: 0.500 0.742 0.742
Cd: 0.500 0.000 0.258
Cd: 0.000 0.211 0.211
Cd: 0.000 0.000 0.789
Cd: 0.000 0.789 0.000
Cd: 0.500 0.258 0.000
Sm: 0.000 0.333 0.667
Sm: 0.000 0.667 0.333



No. 2
Material: Sm3Cd3Ag2
Method: DFT, PBE-GGA
State: optimized geometry

Distance to the lowest polymorph of the same formula = 18 kJ/mol of formula units

Unit cell a=4.542 b=4.969 c=9.470 alpha=105.01 beta=103.88 gamma=90.00
Fractional positions:
Sm: 0.139 0.640 0.278
Sm: 0.861 0.360 0.722
Sm: 0.000 0.000 0.000
Ag: 0.757 0.756 0.513
Ag: 0.243 0.244 0.487
Cd: 0.500 0.500 0.000
Cd: 0.640 0.141 0.279
Cd: 0.360 0.859 0.721



No. 3
Material: Sm2Cd3Ag2
Method: DFT, PBE-GGA
State: optimized geometry

Distance to the lowest polymorph of the same formula = 0 kJ/mol of formula units

Unit cell a=4.706 b=5.627 c=7.423 alpha=108.53 beta=90.00 gamma=114.72
Fractional positions:
Ag: 0.845 0.689 0.796
Ag: 0.155 0.311 0.204
Cd: 0.381 0.761 0.567
Cd: 0.500 0.000 0.000
Cd: 0.619 0.239 0.433
Sm: 0.139 0.279 0.773
Sm: 0.861 0.721 0.227



No. 4
Material: Sm2CdAg3
Method: DFT, PBE-GGA
State: optimized geometry

Distance to the lowest polymorph of the same formula = 0 kJ/mol of formula units

Unit cell a=5.945 b=5.945 c=9.157 alpha=102.12 beta=102.12 gamma=110.68
Fractional positions:
Sm: 0.750 0.250 0.500
Sm: 0.250 0.750 0.500
Sm: 0.753 0.753 0.000
Sm: 0.247 0.247 0.000
Cd: 0.334 0.334 0.667
Cd: 0.666 0.666 0.333
Ag: 0.167 0.667 0.834
Ag: 0.833 0.333 0.166
Ag: 0.834 0.834 0.668
Ag: 0.667 0.167 0.834
Ag: 0.333 0.833 0.166
Ag: 0.166 0.166 0.332



No. 5
Material: Sm2Cd16Ag
Method: DFT, PBE-GGA
State: optimized geometry

Unit cell a=7.650 b=7.650 c=7.650 alpha=81.93 beta=81.93 gamma=81.93
Fractional positions:
Cd: 0.975 0.531 0.975
Cd: 0.975 0.975 0.531
Cd: 0.531 0.975 0.975
Cd: 0.297 0.000 0.700
Cd: 0.700 0.000 0.297
Cd: 0.348 0.870 0.348
Cd: 0.870 0.348 0.348
Cd: 0.627 0.196 0.627
Cd: 0.000 0.700 0.297
Cd: 0.104 0.104 0.104
Cd: 0.000 0.297 0.700
Cd: 0.297 0.700 0.000
Cd: 0.348 0.348 0.870
Cd: 0.627 0.627 0.196
Cd: 0.196 0.627 0.627
Cd: 0.700 0.297 0.000
Ag: 0.911 0.911 0.911
Sm: 0.666 0.666 0.666
Sm: 0.328 0.328 0.328



No. 6
Material: Sm3Cd7Ag2
Method: DFT, PBE-GGA
State: optimized geometry

Unit cell a=5.904 b=5.904 c=10.110 alpha=73.02 beta=73.02 gamma=60.00
Fractional positions:
Cd: 0.415 0.923 0.247
Cd: 0.923 0.415 0.247
Cd: 0.077 0.585 0.753
Cd: 0.585 0.077 0.753
Cd: 0.415 0.415 0.247
Cd: 0.500 0.500 0.500
Cd: 0.585 0.585 0.753
Sm: 0.858 0.858 0.425
Sm: 0.000 0.000 0.000
Sm: 0.142 0.142 0.575
Ag: 0.334 0.334 0.997
Ag: 0.666 0.666 0.003



No. 7
Material: Sm3Cd3Ag2
Method: DFT, PBE-GGA
State: optimized geometry

Distance to the lowest polymorph of the same formula = 0 kJ/mol of formula units

Unit cell a=3.965 b=7.770 c=7.770 alpha=120.00 beta=90.00 gamma=90.00
Fractional positions:
Ag: 0.000 0.667 0.333
Ag: 0.000 0.333 0.667
Sm: 0.500 0.592 0.000
Sm: 0.500 0.408 0.408
Sm: 0.500 0.000 0.592
Cd: 0.000 0.230 0.000
Cd: 0.000 0.770 0.770
Cd: 0.000 0.000 0.230



No. 8
Material: SmCdAg2
Method: DFT, PBE-GGA
State: optimized geometry

Distance to the lowest polymorph of the same formula = 65 kJ/mol of formula units

Unit cell a=3.632 b=5.029 c=5.029 alpha=90.00 beta=90.00 gamma=90.00
Fractional positions:
Cd: 0.500 0.000 0.000
Ag: 0.000 0.000 0.500
Ag: 0.000 0.500 0.000
Sm: 0.500 0.500 0.500



No. 9
Material: Sm2Cd12Ag5
Method: DFT, PBE-GGA
State: optimized geometry

Unit cell a=7.536 b=7.536 c=7.536 alpha=82.41 beta=82.41 gamma=82.41
Fractional positions:
Cd: 0.297 0.000 0.703
Cd: 0.352 0.849 0.352
Cd: 0.000 0.703 0.297
Cd: 0.151 0.648 0.648
Cd: 0.648 0.648 0.151
Cd: 0.703 0.000 0.297
Cd: 0.352 0.352 0.849
Cd: 0.648 0.151 0.648
Cd: 0.703 0.297 0.000
Cd: 0.000 0.297 0.703
Cd: 0.849 0.352 0.352
Cd: 0.297 0.703 0.000
Ag: 0.895 0.895 0.895
Ag: 0.500 0.000 0.000
Ag: 0.000 0.000 0.500
Ag: 0.000 0.500 0.000
Ag: 0.105 0.105 0.105
Sm: 0.333 0.333 0.333
Sm: 0.667 0.667 0.667



No. 10
Material: Sm3Cd2Ag3
Method: DFT, PBE-GGA
State: optimized geometry

Unit cell a=3.750 b=5.225 c=10.634 alpha=104.22 beta=100.16 gamma=90.00
Fractional positions:
Cd: 0.736 0.236 0.472
Cd: 0.264 0.764 0.528
Sm: 0.370 0.370 0.739
Sm: 0.500 0.000 0.000
Sm: 0.630 0.630 0.261
Ag: 0.876 0.876 0.752
Ag: 0.124 0.124 0.248
Ag: 0.000 0.500 0.000



No. 11
Material: Sm2CdAg5
Method: DFT, PBE-GGA
State: optimized geometry

Unit cell a=5.089 b=5.089 c=7.720 alpha=109.25 beta=109.25 gamma=90.00
Fractional positions:
Ag: 0.390 0.890 0.780
Ag: 0.610 0.110 0.220
Ag: 0.500 0.500 0.000
Ag: 0.110 0.610 0.220
Ag: 0.890 0.390 0.780
Cd: 0.000 0.000 0.000
Sm: 0.254 0.254 0.508
Sm: 0.746 0.746 0.492



No. 12
Material: Sm6Cd5Ag
Method: DFT, PBE-GGA
State: optimized geometry

Unit cell a=5.352 b=7.634 c=8.468 alpha=90.00 beta=71.57 gamma=90.00
Site moments in Bohr magnetons follow the coordinates.
Fractional positions:
Sm: 0.164 0.751 0.672  0.14
Sm: 0.500 0.246 0.000  0.15
Sm: 0.164 0.249 0.672  0.14
Sm: 0.500 0.754 0.000  0.15
Sm: 0.836 0.249 0.328  0.14
Sm: 0.836 0.751 0.328  0.14
Ag: 0.000 0.000 0.000  0.02
Cd: 0.332 0.500 0.336  0.01
Cd: 0.668 0.500 0.664  0.01
Cd: 0.329 0.000 0.341  0.01
Cd: 0.000 0.500 0.000  0.01
Cd: 0.671 0.000 0.659  0.01



Number 1: calculated formation energy -131 meV/atom. Number 2: calculated formation energy -257 meV/atom. Number 3: calculated formation energy -288 meV/atom. Number 4: calculated formation energy -279 meV/atom. Number 5: calculated formation energy -136 meV/atom. Number 6: calculated formation energy -231 meV/atom. Number 7: calculated formation energy -281 meV/atom. Number 8: calculated formation energy -97 meV/atom. Number 9: calculated formation energy -140 meV/atom. Number 10: calculated formation energy -241 meV/atom. Number 11: calculated formation energy -159 meV/atom. Number 12: calculated formation energy -306 meV/atom.